4
Lattice="6.5355 0.0000 0.0000 0.0000 2.2006 6.4796 0.0000 -2.2006 6.4796" Properties=species:S:1:pos:R:3 comment="CsIr, relaxed, DFT PBE" formation_enthalpy_0k_ev_per_atom=0.61 de_polymorph_mev_per_atom=159 pbc="T T T"
Cs 0.0000 0.0000 0.0000
Cs 3.2678 0.0000 2.8748
Ir 3.2678 0.0000 6.4896
Ir 3.2678 0.0000 12.0998

8
Lattice="-6.5079 6.5079 2.2041 6.5079 -6.5079 2.2041 6.5079 6.5079 -2.2041" Properties=species:S:1:pos:R:3 comment="CsIr, relaxed, DFT PBE" formation_enthalpy_0k_ev_per_atom=0.59 de_polymorph_mev_per_atom=141 pbc="T T T"
Cs 9.7666 0.0109 0.0000
Cs 0.0109 3.2491 0.0000
Cs 6.4970 3.2587 2.2041
Cs -3.2587 6.4970 2.2041
Ir 9.3807 3.4536 0.0000
Ir 3.4536 3.6350 0.0000
Ir 3.0543 2.8728 2.2041
Ir -2.8728 3.0543 2.2041

2
Lattice="5.8636 0.0000 0.0000 0.0000 1.6433 2.6920 0.0000 -1.6433 2.6920" Properties=species:S:1:pos:R:3 comment="CsIr, relaxed, DFT PBE" formation_enthalpy_0k_ev_per_atom=1.56 de_polymorph_mev_per_atom=1117 pbc="T T T"
Cs 0.0000 0.0000 0.0000
Ir 2.9318 0.0000 2.6613

12
Lattice="12.6388 0.0000 0.0000 -6.3194 10.9455 0.0000 0.0000 0.0000 4.4060" Properties=species:S:1:pos:R:3 comment="CsIr, relaxed, DFT PBE" formation_enthalpy_0k_ev_per_atom=0.60 de_polymorph_mev_per_atom=154 pbc="T T T"
Cs -2.2636 8.5929 1.1015
Cs 0.0095 4.6887 1.1015
Cs 4.0653 2.3361 3.3045
Cs 2.2541 8.6094 1.1015
Cs 6.3099 6.2568 3.3045
Cs 8.5830 2.3526 3.3045
Ir -2.7378 5.5521 3.3045
Ir -0.1422 10.5404 3.3045
Ir 2.8800 5.7985 3.3045
Ir 3.4394 5.1470 1.1015
Ir 6.4616 0.4051 1.1015
Ir 9.0572 5.3934 1.1015

16
Lattice="13.9522 0.0000 0.0000 0.0000 13.9522 0.0000 0.0000 0.0000 3.1742" Properties=species:S:1:pos:R:3 comment="CsIr, relaxed, DFT PBE" formation_enthalpy_0k_ev_per_atom=1.10 de_polymorph_mev_per_atom=653 pbc="T T T"
Cs 0.4170 3.5148 0.0000
Cs 3.4588 7.4118 1.5871
Cs 3.5148 13.5352 0.0000
Cs 6.5404 3.4588 1.5871
Cs 7.4118 10.4935 1.5871
Cs 10.4374 0.4170 0.0000
Cs 10.4935 6.5404 1.5871
Cs 13.5352 10.4374 0.0000
Ir 2.5158 10.4324 0.0000
Ir 3.4372 4.4796 1.5871
Ir 3.5198 2.5158 0.0000
Ir 4.4796 10.5150 1.5871
Ir 9.4727 3.4372 1.5871
Ir 10.4324 11.4364 0.0000
Ir 10.5150 9.4727 1.5871
Ir 11.4364 3.5198 0.0000

8
Lattice="7.4809 0.0000 0.0000 0.0000 7.4809 0.0000 0.0000 0.0000 6.9739" Properties=species:S:1:pos:R:3 comment="CsIr, relaxed, DFT PBE" formation_enthalpy_0k_ev_per_atom=1.33 de_polymorph_mev_per_atom=880 pbc="T T T"
Cs 1.4003 1.4003 0.0000
Cs 2.3401 5.1407 3.4869
Cs 5.1407 2.3401 3.4869
Cs 6.0805 6.0805 0.0000
Ir 0.8196 0.8196 3.4869
Ir 2.9208 4.5600 0.0000
Ir 4.5600 2.9208 0.0000
Ir 6.6613 6.6613 3.4869

4
Lattice="2.7923 -5.9510 0.0000 2.7923 5.9510 0.0000 0.0000 0.0000 4.4211" Properties=species:S:1:pos:R:3 comment="CsIr, relaxed, DFT PBE" formation_enthalpy_0k_ev_per_atom=0.53 de_polymorph_mev_per_atom=86 pbc="T T T"
Cs 2.7923 4.2024 3.3158
Cs 2.7923 -4.2024 1.1053
Ir 2.7923 0.4263 3.3158
Ir 2.7923 -0.4263 1.1053

12
Lattice="4.4035 0.0000 0.0000 0.0000 11.3212 0.0000 0.0000 0.0000 10.3827" Properties=species:S:1:pos:R:3 comment="CsIr, relaxed, DFT PBE" formation_enthalpy_0k_ev_per_atom=0.45 de_polymorph_mev_per_atom=0 pbc="T T T"
Cs 1.1009 0.9192 2.2169
Cs 1.1009 2.8303 6.9720
Cs 1.1009 4.7414 2.2169
Cs 3.3027 6.5798 8.1658
Cs 3.3027 8.4909 3.4107
Cs 3.3027 10.4020 8.1658
Ir 1.1009 6.1776 5.4051
Ir 1.1009 8.4909 6.0084
Ir 1.1009 10.8042 5.4051
Ir 3.3027 0.5170 4.9776
Ir 3.3027 2.8303 4.3743
Ir 3.3027 5.1436 4.9776

8
Lattice="-4.5628 4.5628 4.5628 4.5628 -4.5628 4.5628 4.5628 4.5628 -4.5628" Properties=species:S:1:pos:R:3 comment="CsIr, relaxed, DFT PBE" formation_enthalpy_0k_ev_per_atom=1.22 de_polymorph_mev_per_atom=772 pbc="T T T"
Cs 2.4811 2.4811 -2.4811
Cs 2.4811 -2.4811 2.4811
Cs 2.0817 2.0817 2.0817
Cs -2.4811 2.4811 2.4811
Ir 0.9192 0.9192 -0.9192
Ir 0.9192 -0.9192 0.9192
Ir -0.9192 0.9192 0.9192
Ir 3.6436 3.6436 3.6436

4
Lattice="-2.2072 5.2447 3.2170 2.2072 -5.2447 3.2170 2.2072 5.2447 -3.2170" Properties=species:S:1:pos:R:3 comment="CsIr, relaxed, DFT PBE" formation_enthalpy_0k_ev_per_atom=0.57 de_polymorph_mev_per_atom=122 pbc="T T T"
Cs 0.0000 1.9476 0.0000
Cs 0.0000 8.5417 0.0000
Ir 2.2072 0.0000 2.2735
Ir 0.0000 0.0000 3.1302

4
Lattice="4.6730 0.0000 0.0000 -2.3365 4.0469 0.0000 0.0000 0.0000 7.5904" Properties=species:S:1:pos:R:3 comment="CsIr, relaxed, DFT PBE" formation_enthalpy_0k_ev_per_atom=2.39 de_polymorph_mev_per_atom=1939 pbc="T T T"
Cs 0.0000 2.6980 0.0000
Cs 2.3365 1.3490 3.7952
Ir 0.0000 2.6980 3.4063
Ir 2.3365 1.3490 7.2015

2
Lattice="1.5817 -2.7899 0.0000 1.5817 2.7899 0.0000 -1.4270 0.0000 5.8697" Properties=species:S:1:pos:R:3 comment="CsIr, relaxed, DFT PBE" formation_enthalpy_0k_ev_per_atom=1.57 de_polymorph_mev_per_atom=1122 pbc="T T T"
Cs 0.0000 0.0000 0.0000
Ir 0.8682 -1.3460 2.9348

2
Lattice="0.0000 3.0350 3.0350 3.0350 0.0000 3.0350 3.0350 3.0350 0.0000" Properties=species:S:1:pos:R:3 comment="CsIr, relaxed, DFT PBE" formation_enthalpy_0k_ev_per_atom=2.18 de_polymorph_mev_per_atom=1727 pbc="T T T"
Cs 0.0000 0.0000 0.0000
Ir 3.0350 3.0350 3.0350

5
Lattice="6.7562 0.0000 0.0000 0.0000 6.7562 0.0000 0.0000 0.0000 6.7562" Properties=species:S:1:pos:R:3 comment="Cs3KIr, relaxed, DFT PBE" formation_enthalpy_0k_ev_per_atom=0.59 pbc="T T T"
Cs 0.0000 0.0000 3.3781
Cs 0.0000 3.3781 0.0000
Cs 3.3781 0.0000 0.0000
K 3.3781 3.3781 3.3781
Ir 0.0000 0.0000 0.0000

5
Lattice="5.2001 0.0000 0.0000 0.0000 5.2001 0.0000 0.0000 0.0000 5.2001" Properties=species:S:1:pos:R:3 comment="CsKIr3, relaxed, DFT PBE" formation_enthalpy_0k_ev_per_atom=2.85 de_polymorph_mev_per_atom=205 pbc="T T T"
Cs 0.0000 0.0000 0.0000
K 2.6001 2.6001 2.6001
Ir 0.0000 2.6001 2.6001
Ir 2.6001 0.0000 2.6001
Ir 2.6001 2.6001 0.0000

5
Lattice="5.1682 0.0000 0.0000 0.0000 5.1682 0.0000 0.0000 0.0000 5.1682" Properties=species:S:1:pos:R:3 comment="CsKIr3, relaxed, DFT PBE" formation_enthalpy_0k_ev_per_atom=2.64 de_polymorph_mev_per_atom=0 pbc="T T T"
Cs 0.0000 0.0000 0.0000
K 2.5841 2.5841 2.5841
Ir 0.0000 0.0000 2.5841
Ir 0.0000 2.5841 0.0000
Ir 2.5841 0.0000 0.0000

4
Lattice="0.0000 4.1579 4.1579 4.1579 0.0000 4.1579 4.1579 4.1579 0.0000" Properties=species:S:1:pos:R:3 comment="Cs2KIr, relaxed, DFT PBE" formation_enthalpy_0k_ev_per_atom=0.74 de_polymorph_mev_per_atom=0 pbc="T T T"
Cs 2.0789 2.0789 2.0789
Cs 6.2368 6.2368 6.2368
K 0.0000 0.0000 0.0000
Ir 4.1579 4.1579 4.1579

8
Lattice="-4.6462 4.6462 6.6101 4.6462 -4.6462 6.6101 4.6462 4.6462 -6.6101" Properties=species:S:1:pos:R:3 comment="Cs2KIr, relaxed, DFT PBE" formation_enthalpy_0k_ev_per_atom=0.86 de_polymorph_mev_per_atom=120 pbc="T T T"
Cs 0.0209 2.3231 1.6525
Cs -2.3231 4.6253 4.9576
Cs -0.0209 6.9693 1.6525
Cs 2.3231 4.6671 4.9576
K 4.6462 0.0000 3.3051
K 0.0000 0.0000 6.6101
Ir 0.0000 0.0000 0.0000
Ir 0.0000 4.6462 3.3051

9
Lattice="-3.2573 3.2573 4.4325 3.2573 -3.2573 4.4325 3.2573 3.2573 -4.4325" Properties=species:S:1:pos:R:3 comment="Cs2K2IrO4, relaxed, DFT PBE" raw_formation_energy_kj_per_mol_fu=-870 pbc="T T T"
Cs 3.2573 0.0000 2.2162
Cs 0.0000 3.2573 2.2162
K 0.0000 0.0000 1.3557
K 0.0000 0.0000 7.5093
Ir 0.0000 0.0000 4.4325
O 1.8766 1.8766 0.0000
O 1.3807 -1.3807 4.4325
O -1.3807 1.3807 4.4325
O 1.3807 1.3807 4.4325

12
Lattice="3.4374 -6.0901 0.0000 3.4374 6.0901 0.0000 -2.3886 0.0000 5.8531" Properties=species:S:1:pos:R:3 comment="Cs2K3IrO6, relaxed, DFT PBE" raw_formation_energy_kj_per_mol_fu=-1333 pbc="T T T"
Cs 3.4374 4.0107 0.0000
Cs 3.4374 -4.0107 0.0000
K -1.1943 0.0000 2.9265
K 2.2431 1.7474 2.9265
K 2.2431 -1.7474 2.9265
Ir 3.4374 0.0000 0.0000
O 0.2985 1.3775 4.6787
O 1.7984 0.0000 1.0564
O 0.2985 -1.3775 4.6787
O 4.1876 1.3775 1.1744
O 2.6878 0.0000 4.7967
O 4.1876 -1.3775 1.1744

16
Lattice="0.0000 7.1612 11.0263 3.4494 0.0000 11.0263 3.4494 7.1612 0.0000" Properties=species:S:1:pos:R:3 comment="Cs2KIrO4, relaxed, DFT PBE" raw_formation_energy_kj_per_mol_fu=-798 pbc="T T T"
Cs 2.5871 5.3709 1.1789
Cs 4.3118 8.9515 6.6920
Cs 2.5871 5.3709 15.3606
Cs 4.3118 8.9515 20.8737
K 0.8624 1.7903 2.7566
K 6.0365 12.5321 19.2960
Ir 2.5871 5.3709 8.2697
Ir 4.3118 8.9515 13.7828
O 3.9105 4.0380 8.2761
O 3.9105 6.7038 8.2633
O 5.6352 7.6186 13.7764
O 1.2637 4.0380 8.2633
O 5.6352 10.2844 13.7893
O 1.2637 6.7038 8.2761
O 2.9884 7.6186 13.7893
O 2.9884 10.2844 13.7764

5
Lattice="6.6655 0.0000 0.0000 0.0000 6.6655 0.0000 0.0000 0.0000 5.1780" Properties=species:S:1:pos:R:3 comment="CsK2IrPb, relaxed, DFT PBE" formation_enthalpy_0k_ev_per_atom=0.42 pbc="T T T"
Cs 0.0000 0.0000 0.0000
K 0.0000 3.3328 2.5890
K 3.3328 0.0000 2.5890
Ir 3.3328 3.3328 0.0000
Pb 3.3328 3.3328 2.5890

5
Lattice="6.5626 0.0000 0.0000 0.0000 6.5626 0.0000 0.0000 0.0000 5.1150" Properties=species:S:1:pos:R:3 comment="CsK2IrPd, relaxed, DFT PBE" formation_enthalpy_0k_ev_per_atom=1.28 pbc="T T T"
Cs 0.0000 0.0000 0.0000
K 0.0000 3.2813 0.0000
K 3.2813 0.0000 0.0000
Ir 0.0000 0.0000 2.5575
Pd 3.2813 3.2813 2.5575

5
Lattice="6.5552 0.0000 0.0000 0.0000 6.5552 0.0000 0.0000 0.0000 5.9836" Properties=species:S:1:pos:R:3 comment="CsK2SrIr, relaxed, DFT PBE" formation_enthalpy_0k_ev_per_atom=0.71 pbc="T T T"
Cs 0.0000 0.0000 0.0000
K 0.0000 3.2776 2.9918
K 3.2776 0.0000 2.9918
Sr 3.2776 3.2776 0.0000
Ir 0.0000 0.0000 2.9918